Entry 1:
Entry from Alexandria: a relaxed Ba2CdIn3Pt4 crystal (PBE-GGA). Values from VASP.

Results
ΔH_f (0 K)	-6.43	eV/f.u.
volume	25.10	Å³/atom
total magnetic moment	0.0	μB/cell

Cell and atoms, written as Quantum ESPRESSO input:
```
&SYSTEM
  ibrav = 0, nat = 10, ntyp = 4
/
ATOMIC_SPECIES
Ba 137.33 Ba.upf
Cd 112.41 Cd.upf
In 114.82 In.upf
Pt 195.08 Pt.upf
CELL_PARAMETERS angstrom
4.812 0.000 0.000
0.000 4.812 0.000
0.000 0.000 10.841
ATOMIC_POSITIONS crystal
Ba 0.000 0.500 0.240
Ba 0.500 0.000 0.760
Cd 0.000 0.000 0.500
In 0.000 0.500 0.881
In 0.500 0.000 0.119
In 0.500 0.500 0.500
Pt 0.000 0.000 0.000
Pt 0.000 0.500 0.631
Pt 0.500 0.000 0.369
Pt 0.500 0.500 0.000
```

---

Entry 2:
Entry from Alexandria: a relaxed Pr4SbAs2P crystal (PBE-GGA). Values from VASP.

Results
volume	29.07	Å³/atom
energy relative to the elements, uncorrected	-1.394	eV per atom
total magnetic moment	0.0	μB/cell

Cell and atoms, written as Quantum ESPRESSO input:
```
&SYSTEM
  ibrav = 0, nat = 8, ntyp = 4
/
ATOMIC_SPECIES
Pr 140.91 Pr.upf
Sb 121.76 Sb.upf
As 74.92 As.upf
P 30.97 P.upf
CELL_PARAMETERS angstrom
7.522 0.000 0.000
0.000 4.343 0.000
-2.507 0.000 7.117
ATOMIC_POSITIONS crystal
Pr 0.242 0.000 0.237
Pr 0.249 0.500 0.759
Pr 0.751 0.500 0.241
Pr 0.758 0.000 0.763
Sb 0.500 0.500 0.500
As 0.000 0.000 0.500
As 0.000 0.500 0.000
P 0.500 0.000 0.000
```

---

Entry 3:
Entry from Alexandria: a relaxed Ce2Pm5Ga4 crystal (PBE-GGA). Values from VASP.

Results
ΔH_f (0 K)	-2.91	eV/f.u.
volume	29.22	Å³/atom
total magnetic moment	0.5	μB/cell

Cell and atoms, written as Quantum ESPRESSO input:
```
&SYSTEM
  ibrav = 0, nat = 11, ntyp = 3
/
ATOMIC_SPECIES
Ce 140.12 Ce.upf
Pm 145.00 Pm.upf
Ga 69.72 Ga.upf
CELL_PARAMETERS angstrom
-2.113 3.747 10.150
2.113 -3.747 10.150
2.113 3.747 -10.150
ATOMIC_POSITIONS crystal
Ce 0.072 0.072 0.000
Ce 0.928 0.928 0.000
Pm 0.106 0.339 0.767
Pm 0.428 0.661 0.767
Pm 0.500 0.000 0.500
Pm 0.572 0.339 0.233
Pm 0.894 0.661 0.233
Ga 0.210 0.500 0.710
Ga 0.217 0.217 0.000
Ga 0.783 0.783 0.000
Ga 0.790 0.500 0.290
```